[1]
# Ca3GeO

Ca3GeO after structural relaxation (GGA-PBEsol, Alexandria).

## Properties
The formation energy from raw total energies is -37.33 kcal/mol of atoms.

Unit cell a=6.6083 b=6.6142 c=6.6142 alpha=60.19 beta=60.03 gamma=60.03
Atoms (fractional coordinates):
Ge  0.2500  0.7508  0.7492
Ge  0.7500  0.2492  0.2508
Ca  0.7696  0.2304  0.7304
Ca  0.7304  0.7696  0.2696
Ca  0.2304  0.7696  0.2696
Ca  0.2500  0.2886  0.2114
Ca  0.2696  0.2304  0.7304
Ca  0.7500  0.7114  0.7886
O  0.5000  0.0000  0.0000
O  0.0000  0.5000  0.5000

***

[2]
# Ca2Ge7O16

Ca2Ge7O16 after structural relaxation (GGA-PBEsol, Alexandria).

## Properties
The formation energy from raw total energies is -45.71 kcal/mol of atoms.

Unit cell a=4.6714 b=11.3498 c=11.3498 alpha=90.00 beta=90.00 gamma=90.00
Atoms (fractional coordinates):
Ge  0.5000  0.3666  0.8666
Ge  0.5000  0.1334  0.3666
Ge  0.5000  0.8666  0.6334
Ge  0.9893  0.4347  0.6887
Ge  0.0107  0.6887  0.5653
Ge  0.0107  0.8113  0.0653
Ge  0.0107  0.1887  0.9347
Ge  0.0107  0.3113  0.4347
Ge  0.9893  0.9347  0.8113
Ge  0.5000  0.6334  0.1334
Ge  0.0000  0.0000  0.5000
Ge  0.9893  0.5653  0.3113
Ge  0.0000  0.5000  0.0000
Ge  0.9893  0.0653  0.1887
O  0.7529  0.0000  0.6180
O  0.2471  0.3820  0.0000
O  0.7238  0.7183  0.0257
O  0.1641  0.8599  0.9308
O  0.2690  0.7657  0.1705
O  0.2762  0.9743  0.7183
O  0.2690  0.7343  0.6705
O  0.1641  0.3599  0.5692
O  0.7529  0.5000  0.1180
O  0.7238  0.7817  0.5257
O  0.8359  0.9308  0.1401
O  0.7310  0.8295  0.7657
O  0.2690  0.2657  0.3295
O  0.2471  0.8820  0.5000
O  0.2762  0.0257  0.2817
O  0.2471  0.6180  0.0000
O  0.7238  0.2817  0.9743
O  0.1641  0.1401  0.0692
O  0.7238  0.2183  0.4743
O  0.7529  0.5000  0.8820
O  0.2471  0.1180  0.5000
O  0.2762  0.4743  0.7817
O  0.1641  0.6401  0.4308
O  0.8359  0.4308  0.3599
O  0.7310  0.3295  0.7343
O  0.8359  0.0692  0.8599
O  0.2762  0.5257  0.2183
O  0.2690  0.2343  0.8295
O  0.7529  0.0000  0.3820
O  0.7310  0.1705  0.2343
O  0.7310  0.6705  0.2657
O  0.8359  0.5692  0.6401
Ca  0.5000  0.8349  0.3349
Ca  0.5000  0.3349  0.1651
Ca  0.5000  0.6651  0.8349
Ca  0.5000  0.1651  0.6651

***

Record-wise energy values, in eV per formula unit: -24.68, -172.38